No. 1
{"formula": "La5Nd2Pb", "functional": "PBE", "state": "optimized geometry", "rho_g_cm3": 7.185, "delta_e_f_ev_per_atom": -0.16, "e_tot_ev_per_cell": -39.14, "lattice_angstrom": [[7.057, -0.540, -2.087], [-4.039, 5.808, -2.102], [0.131, 0.245, 6.897]], "species": ["La", "La", "La", "La", "La", "Nd", "Nd", "Pb"], "fractional_positions": [[0.242, 0.313, 0.500], [0.342, 0.761, 0.000], [0.795, 0.214, 0.000], [0.742, 0.813, 0.500], [0.325, 0.231, 0.000], [0.209, 0.801, 0.454], [0.755, 0.347, 0.546], [0.813, 0.743, 0.000]]}


No. 2
{"formula": "CaTaF2", "functional": "PBE", "state": "optimized geometry", "rho_g_cm3": 6.140, "relative_energy_ev_per_atom": 1.2420, "raw_formation_energy_kcal_per_mol_atoms": -14.565, "e_tot_ev_per_cell": -20.12, "lattice_angstrom": [[0.000, 3.272, 3.272], [3.272, 0.000, 3.272], [3.272, 3.272, 0.000]], "species": ["Ca", "F", "F", "Ta"], "fractional_positions": [[0.000, 0.000, 0.000], [0.250, 0.250, 0.250], [0.750, 0.750, 0.750], [0.500, 0.500, 0.500]]}